First-principles (PBE) data for TlAgHg3 after structural relaxation, as listed in Alexandria.

The structure in POSCAR format:
```
TlAgHg3
1.0
5.647 0.000 0.000
0.000 7.463 0.000
0.001 -3.732 6.464
Hg Tl Ag
6 2 2
Cartesian
4.235 1.554 5.207 Hg
4.235 0.000 2.514 Hg
1.411 5.285 1.257 Hg
4.236 -1.554 5.207 Hg
1.412 3.731 3.950 Hg
1.411 2.177 1.257 Hg
1.413 -0.001 4.309 Tl
4.234 3.732 2.155 Tl
2.823 0.000 0.000 Ag
0.000 0.000 0.000 Ag
```

Summary:
E_tot = -11.7 eV per cell
Excess energy over the best structure of this formula in the dataset = 1.0 kJ/mol of atoms

First-principles (PBE) data for Pr2Er6Th3 after structural relaxation, as listed in Alexandria.

The structure in POSCAR format:
```
Pr2Er6Th3
1.0
5.501 0.000 2.781
2.751 5.334 1.391
0.394 0.000 12.896
Er Th Pr
6 3 2
Cartesian
5.325 0.000 12.292 Er
0.570 0.000 3.385 Er
5.300 3.572 12.284 Er
6.096 3.572 6.174 Er
2.549 1.762 10.894 Er
3.345 1.762 4.784 Er
2.751 1.776 1.391 Th
0.000 0.000 0.000 Th
5.501 3.558 2.781 Th
2.947 3.551 7.839 Pr
5.698 1.783 9.229 Pr
```

Summary:
E_tot = -57.5 eV per cell

First-principles (PBE) data for Tb2Ga5Au4 after structural relaxation, as listed in Alexandria.

The structure in POSCAR format:
```
Tb2Ga5Au4
1.0
4.855 0.000 2.317
2.427 4.546 1.159
-1.513 0.000 9.413
Ga Tb Au
5 2 4
Cartesian
4.098 2.273 7.024 Ga
1.671 2.273 5.865 Ga
1.214 2.273 0.579 Ga
3.641 2.273 1.738 Ga
2.427 0.000 1.159 Ga
4.076 0.000 3.949 Tb
-0.734 0.000 7.782 Tb
1.363 1.463 3.389 Au
3.790 3.084 4.548 Au
4.406 3.084 9.500 Au
1.979 1.463 8.342 Au
```

Summary:
E_tot = -42.9 eV per cell

Number 1: mass density 11.1 g/cm³, energy relative to the elements 6 kJ per mole of atoms. Number 2: mass density 8.8 g/cm³, energy relative to the elements 15 kJ per mole of atoms. Number 3: mass density 10.8 g/cm³, energy relative to the elements -48 kJ per mole of atoms.